Below is a relaxed Pm4NiAg2 crystal, with properties calculated at the PBE level.

Geometry as POSCAR:
```
Pm4NiAg2
1.0
6.855 -2.431 0.000
6.855 2.431 0.000
-0.480 0.000 5.630
Pm Ni Ag
4 1 2
direct
0.095 0.095 0.209
0.376 0.376 0.324
0.624 0.624 0.676
0.905 0.905 0.791
0.500 0.500 0.000
0.259 0.259 0.827
0.741 0.741 0.173
```

Values from the calculation:
As for the space group: C2/m. The calculation puts the energy above the most stable polymorph in this dataset at 0.000 kcal/mol of atoms. As for the formation energy from the elements: -123.1 kJ/mol of formula units.

---

Below is a relaxed Li2TaPt crystal, with properties calculated at the PBE level.

Geometry as POSCAR:
```
Li2TaPt
1.0
-1.859 1.859 4.682
1.859 -1.859 4.682
1.859 1.859 -4.682
Li Ta Pt
2 1 1
direct
0.250 0.750 0.500
0.750 0.250 0.500
0.000 0.000 0.000
0.500 0.500 0.000
```

Values from the calculation:
As for the space group: I4/mmm. The calculation puts the energy above the most stable polymorph in this dataset at 4.430 kcal/mol of atoms. As for the formation energy from the elements: -26.0 kJ/mol of formula units.

---

Below is a relaxed Ce2Be4Pt3Rh crystal, with properties calculated at the PBE level.

Geometry as POSCAR:
```
Ce2Be4Pt3Rh
1.0
4.062 0.000 0.000
0.000 4.062 0.000
0.000 0.000 9.480
Ce Be Pt Rh
2 4 3 1
direct
0.000 0.500 0.248
0.500 0.000 0.752
0.000 0.000 0.500
0.000 0.500 0.881
0.500 0.000 0.119
0.500 0.500 0.500
0.000 0.000 0.000
0.000 0.500 0.627
0.500 0.000 0.373
0.500 0.500 0.000
```

Values from the calculation:
As for the space group: P-4m2. As for the formation energy from the elements: -763.5 kJ/mol of formula units.

---

Below is a relaxed NaIn3Pb2 crystal, with properties calculated at the PBE level.

Geometry as POSCAR:
```
NaIn3Pb2
1.0
4.538 -6.186 0.000
4.538 6.186 0.000
0.000 0.000 6.354
Na In Pb
2 6 4
direct
0.093 0.907 0.500
0.907 0.093 0.000
0.154 0.494 0.275
0.181 0.819 0.974
0.494 0.154 0.775
0.506 0.846 0.275
0.819 0.181 0.474
0.846 0.506 0.775
0.238 0.413 0.756
0.413 0.238 0.256
0.587 0.762 0.756
0.762 0.587 0.256
```

Values from the calculation:
As for the space group: Cmc2_1. The calculation puts the energy above the most stable polymorph in this dataset at 0.000 kcal/mol of atoms. As for the formation energy from the elements: 0.5 kJ/mol of formula units.

---

Below is a relaxed BiWI3 crystal, with properties calculated at the PBE level.

Geometry as POSCAR:
```
BiWI3
1.0
5.497 0.000 0.000
0.000 5.497 0.000
0.000 0.000 5.497
Bi W I
1 1 3
direct
0.000 0.000 0.000
0.500 0.500 0.500
0.000 0.500 0.500
0.500 0.000 0.500
0.500 0.500 0.000
```

Values from the calculation:
Its uncorrected formation energy is 0.801 eV per atom. As for the space group: Pm-3m. The calculation puts the energy above the most stable polymorph in this dataset at 0.000 kcal/mol of atoms.

---

Below is a relaxed Na2LiTl crystal, with properties calculated at the PBE level.

Geometry as POSCAR:
```
Na2LiTl
1.0
0.000 3.793 3.793
3.793 0.000 3.793
3.793 3.793 0.000
Na Li Tl
2 1 1
direct
0.250 0.250 0.250
0.750 0.750 0.750
0.000 0.000 0.000
0.500 0.500 0.500
```

Values from the calculation:
As for the space group: Fm-3m. The calculation puts the energy above the most stable polymorph in this dataset at 1.043 kcal/mol of atoms. As for the formation energy from the elements: -20.6 kJ/mol of formula units.

---

no.,DFT total energy (eV/f.u.),spin magnetization (μB/atom),DOS at the Fermi energy (states/eV/f.u.)
1,-31.76,0.000,6.0
2,-21.99,0.170,3.8
3,-60.16,0.122,12.8
4,-16.95,0.000,2.4
5,-17.48,0.373,5.7
6,-7.13,0.000,2.1